Entry 1:
Density functional theory data (PBEsol) for a geometry-optimized PtPbF3 structure.

Lattice parameters (Å, degrees): 4.5300 4.5300 4.5300 90.00 90.00 90.00
Closest atoms and distances in Å follow each position.
Fractional positions:
Pt (0.0000, 0.0000, 0.0000)  12 F 3.20
Pb (0.5000, 0.5000, 0.5000)  6 F 2.27
F (0.0000, 0.5000, 0.5000)  2 Pb 2.27
F (0.5000, 0.0000, 0.5000)  2 Pb 2.27
F (0.5000, 0.5000, 0.0000)  2 Pb 2.27

DOS at the Fermi energy = 12.30 states/eV/cell
Formation energy (no corrections) = -0.622 eV/atom
Total magnetization = 0.646 μB/cell



Entry 2:
Density functional theory data (PBEsol) for a geometry-optimized Ta2PtPbF structure.

Lattice parameters (Å, degrees): 4.9916 4.9916 4.0855 90.00 90.00 90.00
Closest atoms and distances in Å follow each position.
Fractional positions:
Ta (0.0000, 0.5000, 0.0000)  2 Pt 2.50
Ta (0.5000, 0.0000, 0.0000)  2 Pt 2.50
Pt (0.0000, 0.0000, 0.0000)  2 F 2.04
Pb (0.5000, 0.5000, 0.5000)  8 Ta 3.23, 4 F 3.53
F (0.0000, 0.0000, 0.5000)  2 Pt 2.04

DOS at the Fermi energy = 4.61 states/eV/cell
Formation energy (no corrections) = 0.706 eV/atom
Total magnetization = 0.000 μB/cell



Entry 3:
Density functional theory data (PBEsol) for a geometry-optimized RbPbF3 structure.

Lattice parameters (Å, degrees): 4.7767 4.7767 4.7767 90.00 90.00 90.00
Closest atoms and distances in Å follow each position.
Fractional positions:
Rb (0.0000, 0.0000, 0.0000)  12 F 3.38
Pb (0.5000, 0.5000, 0.5000)  6 F 2.39
F (0.0000, 0.5000, 0.5000)  2 Pb 2.39
F (0.5000, 0.0000, 0.5000)  2 Pb 2.39
F (0.5000, 0.5000, 0.0000)  2 Pb 2.39

DOS at the Fermi energy = 0.00 states/eV/cell
Formation energy (no corrections) = -2.455 eV/atom
Total magnetization = 0.000 μB/cell



Entry 4:
Density functional theory data (PBEsol) for a geometry-optimized RbPbF3 structure.

Lattice parameters (Å, degrees): 4.8272 4.8272 4.8272 90.00 90.00 90.00
Closest atoms and distances in Å follow each position.
Fractional positions:
Rb (0.0000, 0.0000, 0.0000)  6 F 2.41
Pb (0.5000, 0.5000, 0.5000)  12 F 3.41
F (0.0000, 0.0000, 0.5000)  2 Rb 2.41
F (0.0000, 0.5000, 0.0000)  2 Rb 2.41
F (0.5000, 0.0000, 0.0000)  2 Rb 2.41

Formation energy (no corrections) = -1.563 eV/atom
Total magnetization = 0.000 μB/cell



Entry 5:
Density functional theory data (PBEsol) for a geometry-optimized RbPbF3 structure.

Lattice parameters (Å, degrees): 6.5123 6.5123 6.5123 62.08 62.08 62.08
Closest atoms and distances in Å follow each position.
Fractional positions:
Rb (0.0000, 0.0000, 0.0000)  6 F 2.79-2.88
Rb (0.5000, 0.5000, 0.5000)  6 F 2.79-2.88
Pb (0.2398, 0.2398, 0.2398)  6 F 2.35-2.52
Pb (0.7398, 0.7398, 0.7398)  6 F 2.35-2.52
F (0.0869, 0.9079, 0.4350)  2 Pb 2.35-2.52
F (0.4079, 0.5869, 0.9350)  2 Pb 2.35-2.52
F (0.4350, 0.0869, 0.9079)  2 Pb 2.35-2.52
F (0.5869, 0.9350, 0.4079)  2 Pb 2.35-2.52
F (0.9079, 0.4350, 0.0869)  2 Pb 2.35-2.52
F (0.9350, 0.4079, 0.5869)  2 Pb 2.35-2.52

DOS at the Fermi energy = 0.00 states/eV/cell
Formation energy (no corrections) = -2.498 eV/atom
Total magnetization = 0.000 μB/cell



Entry 6:
Density functional theory data (PBEsol) for a geometry-optimized RbPbF3 structure.

Lattice parameters (Å, degrees): 4.6498 4.6502 18.7021 89.33 89.95 90.00
Closest atoms and distances in Å follow each position.
Fractional positions:
Rb (0.2475, 0.2438, 0.3248)  5 F 2.70-2.85
Rb (0.2515, 0.2433, 0.8248)  5 F 2.70-2.85
Rb (0.7485, 0.7567, 0.1752)  5 F 2.70-2.85
Rb (0.7525, 0.7562, 0.6752)  5 F 2.70-2.85
Pb (0.2496, 0.2578, 0.0620)  5 F 2.21-2.38
Pb (0.2516, 0.2574, 0.5619)  5 F 2.21-2.38
Pb (0.7484, 0.7426, 0.4381)  5 F 2.21-2.38
Pb (0.7504, 0.7422, 0.9380)  5 F 2.21-2.38
F (0.2488, 0.7387, 0.4124)  2 Pb 2.37-2.38
F (0.2490, 0.7560, 0.0877)  2 Pb 2.37-2.38
F (0.2498, 0.2500, 0.1803)  1 Pb 2.21
F (0.2503, 0.2498, 0.6803)  1 Pb 2.21
F (0.2503, 0.7382, 0.9124)  2 Pb 2.37
F (0.2526, 0.7557, 0.5876)  2 Pb 2.37-2.38
F (0.7474, 0.2443, 0.4124)  2 Pb 2.37-2.38
F (0.7497, 0.2618, 0.0876)  2 Pb 2.37
F (0.7497, 0.7502, 0.3197)  1 Pb 2.21
F (0.7502, 0.7500, 0.8197)  1 Pb 2.21
F (0.7510, 0.2440, 0.9123)  2 Pb 2.37-2.38
F (0.7512, 0.2613, 0.5876)  2 Pb 2.37-2.38

DOS at the Fermi energy = 0.00 states/eV/cell
Formation energy (no corrections) = -2.491 eV/atom
Total magnetization = 0.000 μB/cell



Entry 7:
Density functional theory data (PBEsol) for a geometry-optimized ReTe2PbF structure.

Lattice parameters (Å, degrees): 5.0840 5.0840 5.4297 90.00 90.00 90.00
Closest atoms and distances in Å follow each position.
Fractional positions:
Re (0.0000, 0.0000, 0.0000)  4 Te 2.54, 2 Pb 2.71
Te (0.0000, 0.5000, 0.0000)  2 Re 2.54
Te (0.5000, 0.0000, 0.0000)  2 Re 2.54
Pb (0.0000, 0.0000, 0.5000)  2 Re 2.71
F (0.5000, 0.5000, 0.5000)  4 Pb 3.59, 8 Te 3.72

DOS at the Fermi energy = 3.38 states/eV/cell
Formation energy (no corrections) = 0.210 eV/atom
Total magnetization = 0.000 μB/cell



Entry 8:
Density functional theory data (PBEsol) for a geometry-optimized Rh3PbF structure.

Lattice parameters (Å, degrees): 4.2972 4.2972 4.2972 90.00 90.00 90.00
Closest atoms and distances in Å follow each position.
Fractional positions:
Rh (0.0000, 0.0000, 0.5000)  2 F 2.15
Rh (0.0000, 0.5000, 0.0000)  2 F 2.15
Rh (0.5000, 0.0000, 0.0000)  2 F 2.15
Pb (0.5000, 0.5000, 0.5000)  12 Rh 3.04
F (0.0000, 0.0000, 0.0000)  6 Rh 2.15

DOS at the Fermi energy = 5.65 states/eV/cell
Formation energy (no corrections) = 0.564 eV/atom
Total magnetization = 3.230 μB/cell



Entry 9:
Density functional theory data (PBEsol) for a geometry-optimized Ru3PbF structure.

Lattice parameters (Å, degrees): 4.2216 4.2216 4.2216 90.00 90.00 90.00
Closest atoms and distances in Å follow each position.
Fractional positions:
Ru (0.0000, 0.0000, 0.5000)  2 F 2.11
Ru (0.0000, 0.5000, 0.0000)  2 F 2.11
Ru (0.5000, 0.0000, 0.0000)  2 F 2.11
Pb (0.5000, 0.5000, 0.5000)  12 Ru 2.99
F (0.0000, 0.0000, 0.0000)  6 Ru 2.11

DOS at the Fermi energy = 6.58 states/eV/cell
Formation energy (no corrections) = 1.017 eV/atom
Total magnetization = 0.002 μB/cell



Entry 10:
Density functional theory data (PBEsol) for a geometry-optimized RuPbF2 structure.

Lattice parameters (Å, degrees): 4.3532 4.3532 4.3532 60.00 60.00 60.00
Closest atoms and distances in Å follow each position.
Fractional positions:
Ru (0.0000, 0.0000, 0.0000)  8 F 2.67
Pb (0.5000, 0.5000, 0.5000)  8 F 2.67
F (0.2500, 0.2500, 0.2500)  4 Pb 2.67, 4 Ru 2.67
F (0.7500, 0.7500, 0.7500)  4 Pb 2.67, 4 Ru 2.67

DOS at the Fermi energy = 1.93 states/eV/cell
Formation energy (no corrections) = -0.417 eV/atom
Total magnetization = 2.138 μB/cell



Entry 11:
Density functional theory data (PBEsol) for a geometry-optimized TePbS2F structure.

Lattice parameters (Å, degrees): 4.6939 4.6939 4.7814 90.00 90.00 90.00
Closest atoms and distances in Å follow each position.
Fractional positions:
Te (0.0000, 0.0000, 0.0000)  4 Pb 3.32, 8 S 3.35
Pb (0.5000, 0.5000, 0.0000)  2 F 2.39
S (0.0000, 0.5000, 0.5000)  2 F 2.35
S (0.5000, 0.0000, 0.5000)  2 F 2.35
F (0.5000, 0.5000, 0.5000)  4 S 2.35, 2 Pb 2.39

DOS at the Fermi energy = 4.73 states/eV/cell
Formation energy (no corrections) = 0.190 eV/atom
Total magnetization = 0.001 μB/cell